Entry 1:
Here is a geometry-optimized BaAg6Sn6 structure from Alexandria via LeMat-Bulk. Energies are from PBE.

abc: 5.970 7.777 7.777
angles: 78.97 67.43 67.43
Positions (direct):
Sn  0.684  0.816  0.816
Sn  0.000  0.650  0.350
Sn  0.653  0.347  0.347
Ba  0.000  0.000  0.000
Ag  0.500  0.764  0.236
Sn  0.316  0.184  0.184
Ag  0.000  0.000  0.500
Sn  0.347  0.653  0.653
Ag  0.000  0.500  0.000
Ag  0.500  0.236  0.764
Ag  0.500  0.000  0.500
Ag  0.500  0.500  0.000
Sn  0.000  0.350  0.650

Results
E_tot, eV/atom: -3.443
M_tot, μB/cell: 0.0
Formation energy, eV per formula unit: -1.71

Entry 2:
Here is a geometry-optimized Ba3Ag3Sn structure from Alexandria via LeMat-Bulk. Energies are from PBE.

abc: 4.888 6.696 16.759
angles: 89.12 81.61 68.59
Positions (direct):
Ag  0.113  0.336  0.438
Sn  0.725  0.180  0.371
Ag  0.107  0.861  0.926
Ba  0.585  0.238  0.592
Ag  0.064  0.097  0.774
Ba  0.597  0.730  0.076
Ba  0.415  0.762  0.408
Ag  0.936  0.903  0.226
Ba  0.403  0.270  0.924
Sn  0.275  0.820  0.629
Ba  0.769  0.687  0.775
Ag  0.887  0.664  0.562
Ba  0.231  0.313  0.225
Ag  0.893  0.139  0.074

Results
E_tot, eV/atom: -2.962
M_tot, μB/cell: 0.0
Formation energy, eV per formula unit: -2.41
E above lowest polymorph, eV/f.u.: 0.00

Entry 3:
Here is a geometry-optimized Ba3Ag3Sn structure from Alexandria via LeMat-Bulk. Energies are from PBE.

abc: 6.688 9.980 9.980
angles: 120.00 90.00 90.00
Positions (direct):
Ba  0.750  0.381  0.071
Ag  0.750  0.298  0.368
Ag  0.750  0.632  0.931
Ag  0.250  0.931  0.298
Ba  0.250  0.310  0.381
Sn  0.250  0.667  0.333
Ba  0.250  0.619  0.929
Ba  0.250  0.071  0.690
Ba  0.750  0.690  0.619
Ba  0.750  0.929  0.310
Sn  0.750  0.333  0.667
Ag  0.250  0.702  0.632
Ag  0.250  0.368  0.069
Ag  0.750  0.069  0.702

Results
E_tot, eV/atom: -2.788
M_tot, μB/cell: 0.0
Formation energy, eV per formula unit: -1.19
E above lowest polymorph, eV/f.u.: 1.22

Entry 4:
Here is a geometry-optimized BaAg4Sn2 structure from Alexandria via LeMat-Bulk. Energies are from PBE.

abc: 6.677 6.677 6.677
angles: 102.94 102.94 123.51
Positions (direct):
Sn  0.750  0.250  0.500
Sn  0.250  0.750  0.500
Ag  0.500  0.271  0.771
Ag  0.729  0.500  0.229
Ag  0.500  0.729  0.229
Ba  0.000  0.000  0.000
Ag  0.271  0.500  0.771

Results
E_tot, eV/atom: -3.012
M_tot, μB/cell: 0.0
Formation energy, eV per formula unit: 0.25
E above lowest polymorph, eV/f.u.: 1.74

Entry 5:
Here is a geometry-optimized BaAg2Sn4 structure from Alexandria via LeMat-Bulk. Energies are from PBE.

abc: 5.282 5.296 7.485
angles: 110.72 90.00 90.00
Positions (direct):
Sn  0.500  0.819  0.637
Ba  0.000  0.000  0.000
Ag  0.500  0.402  0.804
Sn  0.000  0.692  0.384
Ag  0.500  0.598  0.196
Sn  0.000  0.308  0.616
Sn  0.500  0.181  0.363

Results
E_tot, eV/atom: -3.583
M_tot, μB/cell: 0.0
Formation energy, eV per formula unit: -1.45
E above lowest polymorph, eV/f.u.: 0.18

Entry 6:
Here is a geometry-optimized Ba2AgSn6 structure from Alexandria via LeMat-Bulk. Energies are from PBE.

abc: 6.378 7.007 7.007
angles: 120.00 90.00 90.00
Positions (direct):
Sn  0.672  0.174  0.347
Sn  0.328  0.827  0.174
Ba  0.160  0.333  0.667
Ag  0.000  0.000  0.000
Sn  0.672  0.653  0.826
Sn  0.672  0.173  0.826
Sn  0.328  0.826  0.653
Sn  0.328  0.347  0.174
Ba  0.840  0.667  0.333

Results
E_tot, eV/atom: -3.823
M_tot, μB/cell: 0.0
Formation energy, eV per formula unit: -3.69

Entry 7:
Here is a geometry-optimized BaAg2Sn2 structure from Alexandria via LeMat-Bulk. Energies are from PBE.

abc: 8.948 8.948 3.262
angles: 90.00 90.00 90.00
Positions (direct):
Sn  0.639  0.139  0.000
Ag  0.652  0.848  0.500
Ag  0.348  0.152  0.500
Sn  0.861  0.639  0.000
Sn  0.139  0.361  0.000
Ag  0.152  0.652  0.500
Sn  0.361  0.861  0.000
Ag  0.848  0.348  0.500
Ba  0.000  0.000  0.000
Ba  0.500  0.500  0.000

Results
E_tot, eV/atom: -3.237
M_tot, μB/cell: 0.0
Formation energy, eV per formula unit: -0.55

Entry 8:
Here is a geometry-optimized BaAg6Sn3 structure from Alexandria via LeMat-Bulk. Energies are from PBE.

abc: 7.711 8.541 7.457
angles: 106.40 90.00 90.00
Positions (direct):
Ag  0.715  0.862  0.640
Ag  0.036  0.670  0.521
Ag  0.285  0.138  0.360
Ag  0.717  0.229  0.732
Ag  0.536  0.830  0.979
Ag  0.964  0.330  0.479
Sn  0.359  0.926  0.674
Sn  0.859  0.574  0.826
Sn  0.141  0.426  0.174
Sn  0.000  0.000  0.500
Sn  0.641  0.074  0.326
Ba  0.000  0.000  0.000
Ag  0.783  0.729  0.232
Ag  0.283  0.771  0.268
Ag  0.464  0.170  0.021
Ag  0.215  0.638  0.860
Sn  0.500  0.500  0.000
Ag  0.785  0.362  0.140
Ag  0.217  0.271  0.768
Ba  0.500  0.500  0.500

Results
E_tot, eV/atom: -3.206
M_tot, μB/cell: 0.0
Formation energy, eV per formula unit: -1.03

Entry 9:
Here is a geometry-optimized BaAg2Sn2 structure from Alexandria via LeMat-Bulk. Energies are from PBE.

abc: 8.843 8.843 3.344
angles: 90.00 90.00 90.00
Positions (direct):
Sn  0.669  0.831  0.500
Sn  0.169  0.669  0.500
Ag  0.881  0.619  0.000
Ag  0.381  0.881  0.000
Ag  0.619  0.119  0.000
Sn  0.831  0.331  0.500
Sn  0.331  0.169  0.500
Ba  0.000  0.000  0.000
Ag  0.119  0.381  0.000
Ba  0.500  0.500  0.000

Results
E_tot, eV/atom: -3.285
M_tot, μB/cell: 0.0
Formation energy, eV per formula unit: -0.80

Entry 10:
Here is a geometry-optimized Ba2Ag3Sn5 structure from Alexandria via LeMat-Bulk. Energies are from PBE.

abc: 6.908 9.748 9.748
angles: 90.23 69.27 69.27
Positions (direct):
Ba  0.246  0.380  0.128
Sn  0.141  0.746  0.975
Ba  0.754  0.620  0.872
Sn  0.641  0.975  0.746
Sn  0.750  0.499  0.501
Sn  0.859  0.254  0.025
Sn  0.250  0.246  0.754
Sn  0.250  0.754  0.246
Sn  0.359  0.025  0.254
Ag  0.750  0.000  0.000
Ba  0.746  0.128  0.380
Ba  0.254  0.872  0.620
Ag  0.628  0.500  0.244
Ag  0.128  0.244  0.500
Sn  0.750  0.754  0.246
Sn  0.750  0.246  0.754
Sn  0.250  0.501  0.499
Ag  0.872  0.756  0.500
Ag  0.372  0.500  0.756
Ag  0.250  0.000  0.000

Results
E_tot, eV/atom: -3.647
M_tot, μB/cell: 0.0
Formation energy, eV per formula unit: -4.06
E above lowest polymorph, eV/f.u.: 0.00

Entry 11:
Here is a geometry-optimized BaAgSn2 structure from Alexandria via LeMat-Bulk. Energies are from PBE.

abc: 5.243 5.243 10.698
angles: 75.81 75.81 90.00
Positions (direct):
Sn  0.375  0.491  0.750
Sn  0.875  0.759  0.750
Ba  0.000  0.000  0.000
Ag  0.500  0.500  0.000
Ag  0.250  0.750  0.500
Sn  0.241  0.625  0.250
Ba  0.750  0.250  0.500
Sn  0.509  0.125  0.250

Results
E_tot, eV/atom: -3.413
M_tot, μB/cell: 0.0
Formation energy, eV per formula unit: -0.87
E above lowest polymorph, eV/f.u.: 0.75

Entry 12:
Here is a geometry-optimized BaAgSn2 structure from Alexandria via LeMat-Bulk. Energies are from PBE.

abc: 4.627 4.627 9.337
angles: 75.65 75.65 60.00
Site moments in Bohr magnetons follow the coordinates.
Positions (direct):
Sn  0.869  0.869  0.394  0.01
Ba  0.000  0.000  0.000  0.13
Sn  0.131  0.131  0.606  0.01
Ag  0.500  0.500  0.500  0.00

Results
E_tot, eV/atom: -3.139
M_tot, μB/cell: 0.6
Formation energy, eV per formula unit: 0.22
E above lowest polymorph, eV/f.u.: 1.85

Entry 13:
Here is a geometry-optimized Ba3Ag2Sn3 structure from Alexandria via LeMat-Bulk. Energies are from PBE.

abc: 5.133 6.540 17.216
angles: 90.00 90.00 113.11
Positions (direct):
Ba  0.891  0.782  0.391
Sn  0.307  0.614  0.250
Ag  0.811  0.621  0.600
Sn  0.390  0.780  0.537
Ag  0.811  0.621  0.900
Ba  0.891  0.782  0.109
Ag  0.189  0.379  0.400
Ba  0.606  0.212  0.250
Ba  0.109  0.218  0.609
Sn  0.610  0.220  0.037
Ba  0.394  0.788  0.750
Sn  0.693  0.386  0.750
Sn  0.390  0.780  0.963
Ag  0.189  0.379  0.100
Sn  0.610  0.220  0.463
Ba  0.109  0.218  0.891

Results
E_tot, eV/atom: -3.449
M_tot, μB/cell: 0.0
Formation energy, eV per formula unit: -4.12

Entry 14:
Here is a geometry-optimized Ba7Ag2Sn2 structure from Alexandria via LeMat-Bulk. Energies are from PBE.

abc: 7.947 8.341 7.947
angles: 90.00 109.34 90.00
Positions (direct):
Ba  0.500  0.262  0.500
Ba  0.000  0.000  0.000
Ba  0.500  0.728  0.000
Sn  0.838  0.500  0.838
Ba  0.000  0.728  0.500
Ag  0.705  0.000  0.295
Ba  0.500  0.272  0.000
Ba  0.000  0.272  0.500
Sn  0.162  0.500  0.162
Ag  0.295  0.000  0.705
Ba  0.500  0.738  0.500

Results
E_tot, eV/atom: -2.702
M_tot, μB/cell: 0.0
Formation energy, eV per formula unit: -2.56

Entry 15:
Here is a geometry-optimized Ba3Ag3Sn8 structure from Alexandria via LeMat-Bulk. Energies are from PBE.

abc: 4.879 9.551 9.551
angles: 77.28 75.20 75.20
Positions (direct):
Sn  0.128  0.532  0.211
Ag  0.500  0.000  0.000
Ag  0.000  0.133  0.867
Sn  0.640  0.055  0.666
Ag  0.000  0.867  0.133
Ba  0.218  0.782  0.782
Sn  0.128  0.211  0.532
Sn  0.872  0.468  0.789
Ba  0.500  0.500  0.500
Sn  0.640  0.666  0.055
Sn  0.360  0.334  0.945
Sn  0.872  0.789  0.468
Ba  0.782  0.218  0.218
Sn  0.360  0.945  0.334

Results
E_tot, eV/atom: -3.654
M_tot, μB/cell: 0.0
Formation energy, eV per formula unit: -4.81
E above lowest polymorph, eV/f.u.: 0.34

Entry 16:
Here is a geometry-optimized BaAg2Sn6 structure from Alexandria via LeMat-Bulk. Energies are from PBE.

abc: 4.512 8.349 8.349
angles: 65.58 74.30 74.30
Positions (direct):
Ag  0.895  0.604  0.604
Sn  0.707  0.623  0.962
Ag  0.105  0.396  0.396
Sn  0.707  0.962  0.623
Sn  0.500  0.331  0.669
Sn  0.293  0.377  0.038
Sn  0.293  0.038  0.377
Ba  0.000  0.000  0.000
Sn  0.500  0.669  0.331

Results
E_tot, eV/atom: -3.604
M_tot, μB/cell: 0.0
Formation energy, eV per formula unit: -0.79

Entry 17:
Here is a geometry-optimized BaAgSn6 structure from Alexandria via LeMat-Bulk. Energies are from PBE.

abc: 6.869 6.869 7.471
angles: 62.63 62.63 60.00
Positions (direct):
Sn  0.534  0.099  0.268
Sn  0.099  0.534  0.268
Sn  0.099  0.099  0.268
Sn  0.901  0.466  0.732
Sn  0.466  0.901  0.732
Sn  0.901  0.901  0.732
Ba  0.500  0.500  0.500
Ag  0.000  0.000  0.000

Results
E_tot, eV/atom: -3.714
M_tot, μB/cell: 0.0
Formation energy, eV per formula unit: -0.92

Entry 18:
Here is a geometry-optimized Ba3Ag4Sn4 structure from Alexandria via LeMat-Bulk. Energies are from PBE.

abc: 4.904 4.908 14.450
angles: 80.33 80.25 89.93
Positions (direct):
Ag  0.402  0.902  0.197
Sn  0.303  0.802  0.397
Sn  0.697  0.198  0.603
Sn  0.447  0.449  0.102
Ag  0.247  0.251  0.501
Sn  0.553  0.551  0.898
Ba  0.000  0.000  0.000
Ag  0.753  0.749  0.499
Ba  0.848  0.348  0.304
Ag  0.598  0.098  0.803
Ba  0.152  0.652  0.696

Results
E_tot, eV/atom: -3.462
M_tot, μB/cell: 0.0
Formation energy, eV per formula unit: -4.89

Entry 19:
Here is a geometry-optimized BaAgSn2 structure from Alexandria via LeMat-Bulk. Energies are from PBE.

abc: 4.718 6.926 7.790
angles: 90.00 90.00 109.91
Positions (direct):
Sn  0.652  0.304  0.054
Sn  0.348  0.696  0.946
Ag  0.207  0.414  0.250
Ag  0.793  0.586  0.750
Ba  0.068  0.135  0.750
Ba  0.932  0.865  0.250
Sn  0.652  0.304  0.446
Sn  0.348  0.696  0.554

Results
E_tot, eV/atom: -3.601
M_tot, μB/cell: 0.0
Formation energy, eV per formula unit: -1.62
E above lowest polymorph, eV/f.u.: 0.00

Entry 20:
Here is a geometry-optimized Ba3Ag2Sn7 structure from Alexandria via LeMat-Bulk. Energies are from PBE.

abc: 5.008 4.876 15.349
angles: 99.22 90.00 90.00
Positions (direct):
Sn  0.500  0.083  0.167
Ag  0.500  0.632  0.265
Ag  0.500  0.368  0.735
Sn  0.500  0.724  0.448
Ba  0.500  0.500  0.000
Sn  0.500  0.276  0.552
Sn  0.000  0.584  0.167
Ba  0.000  0.819  0.639
Ba  0.000  0.181  0.361
Sn  0.000  0.416  0.833
Sn  0.000  0.000  0.000
Sn  0.500  0.917  0.833

Results
E_tot, eV/atom: -3.711
M_tot, μB/cell: 0.0
Formation energy, eV per formula unit: -5.04